No. 1
Compound: Mn3F5
Source: the Alexandria database
Functional: PBE with a Hubbard U
Structure: optimized geometry

Summary:
* VASP energy: -98.58 eV for the cell shown
* Fermi-level density of states: 1.46 states/eV per cell

abc: 6.014 6.354 6.354
angles: 120.00 90.00 90.00
Last column: magnetic moment on the atom in μB.
Sites, in units of the cell vectors:
F  0.000  0.333  0.667  0.06
F  0.250  0.729  0.000  0.06
F  0.000  0.667  0.333  0.06
F  0.250  0.271  0.271  0.06
F  0.250  0.000  0.729  0.06
F  0.750  0.729  0.729  0.06
F  0.750  0.271  0.000  0.06
F  0.750  0.000  0.271  0.06
F  0.500  0.333  0.667  0.06
F  0.500  0.667  0.333  0.06
Mn  0.750  0.379  0.379  4.68
Mn  0.250  0.621  0.621  4.68
Mn  0.250  0.379  0.000  4.68
Mn  0.750  0.000  0.621  4.68
Mn  0.750  0.621  0.000  4.68
Mn  0.250  0.000  0.379  4.68



No. 2
Compound: Mn2F3
Source: the Alexandria database
Functional: PBE with a Hubbard U
Structure: optimized geometry

Summary:
* VASP energy: -61.61 eV for the cell shown
* Fermi-level density of states: 3.53 states/eV per cell

abc: 5.955 5.955 5.559
angles: 57.61 57.61 60.00
Last column: magnetic moment on the atom in μB.
Sites, in units of the cell vectors:
F  0.474  0.026  0.750  0.05
F  0.250  0.526  0.250  0.05
F  0.974  0.250  0.250  0.05
F  0.026  0.750  0.750  0.05
F  0.526  0.974  0.250  0.05
F  0.750  0.474  0.750  0.05
Mn  0.877  0.877  0.369  4.63
Mn  0.377  0.377  0.869  4.63
Mn  0.623  0.623  0.131  4.63
Mn  0.123  0.123  0.631  4.63



No. 3
Compound: Mn4F
Source: the Alexandria database
Functional: PBE with a Hubbard U
Structure: optimized geometry

Summary:
* VASP energy: -31.13 eV for the cell shown
* Fermi-level density of states: 2.12 states/eV per cell

abc: 4.535 4.535 4.535
angles: 90.00 90.00 90.00
Last column: magnetic moment on the atom in μB.
Sites, in units of the cell vectors:
Mn  0.000  0.500  0.500  4.46
Mn  0.500  0.500  0.000  4.46
Mn  0.000  0.000  0.000  4.41
Mn  0.500  0.000  0.500  4.46
F  0.500  0.500  0.500  0.10



No. 4
Compound: Mn7F16
Source: the Alexandria database
Functional: PBE with a Hubbard U
Structure: optimized geometry

Summary:
* VASP energy: -141.43 eV for the cell shown

abc: 9.570 9.570 9.570
angles: 40.09 40.09 40.09
Last column: magnetic moment on the atom in μB.
Sites, in units of the cell vectors:
Mn  0.248  0.522  0.891  4.65
Mn  0.478  0.109  0.752  4.65
Mn  0.000  0.000  0.000  3.60
Mn  0.752  0.478  0.109  4.65
Mn  0.891  0.248  0.522  4.65
Mn  0.109  0.752  0.478  4.65
Mn  0.522  0.891  0.248  4.65
F  0.281  0.033  0.812  -0.01
F  0.844  0.600  0.142  0.05
F  0.764  0.764  0.764  0.04
F  0.236  0.236  0.236  0.04
F  0.719  0.967  0.188  -0.01
F  0.429  0.429  0.429  0.05
F  0.033  0.812  0.281  -0.01
F  0.188  0.719  0.967  -0.01
F  0.812  0.281  0.033  -0.01
F  0.967  0.188  0.719  -0.01
F  0.400  0.858  0.156  0.05
F  0.571  0.571  0.571  0.05
F  0.858  0.156  0.400  0.05
F  0.142  0.844  0.600  0.05
F  0.600  0.142  0.844  0.05
F  0.156  0.400  0.858  0.05



No. 5
Compound: MnF2
Source: the Alexandria database
Functional: PBE with a Hubbard U
Structure: optimized geometry

Summary:
* VASP energy: -38.56 eV for the cell shown
* Fermi-level density of states: 0.00 states/eV per cell

abc: 3.351 4.964 4.964
angles: 90.00 90.00 90.00
Last column: magnetic moment on the atom in μB.
Sites, in units of the cell vectors:
F  0.000  0.305  0.305  0.05
F  0.000  0.695  0.695  0.05
F  0.500  0.805  0.195  0.05
F  0.500  0.195  0.805  0.05
Mn  0.000  0.000  0.000  4.71
Mn  0.500  0.500  0.500  4.71



No. 6
Compound: Mn7F18
Source: the Alexandria database
Functional: PBE with a Hubbard U
Structure: optimized geometry

Summary:
* VASP energy: -148.57 eV for the cell shown
* Fermi-level density of states: 2.82 states/eV per cell

abc: 7.183 7.535 8.105
angles: 93.88 94.92 114.88
Last column: magnetic moment on the atom in μB.
Sites, in units of the cell vectors:
F  0.927  0.757  0.587  0.03
F  0.073  0.243  0.413  0.03
F  0.672  0.493  0.023  0.01
F  0.080  0.777  0.936  0.00
F  0.901  0.413  0.762  0.01
F  0.328  0.507  0.977  0.01
F  0.099  0.587  0.238  0.01
F  0.920  0.223  0.064  0.00
F  0.511  0.100  0.838  0.01
F  0.109  0.144  0.759  0.04
F  0.443  0.538  0.301  0.01
F  0.755  0.006  0.562  0.00
F  0.891  0.856  0.241  0.04
F  0.557  0.462  0.699  0.01
F  0.489  0.900  0.162  0.01
F  0.267  0.176  0.119  0.02
F  0.733  0.824  0.881  0.02
F  0.245  0.994  0.438  0.00
Mn  0.829  0.625  0.798  3.94
Mn  0.000  0.000  0.500  3.91
Mn  0.171  0.375  0.202  3.94
Mn  0.801  0.121  0.813  4.61
Mn  0.605  0.714  0.118  4.38
Mn  0.395  0.286  0.882  4.38
Mn  0.199  0.879  0.187  4.61



No. 7
Compound: Mn2MoF
Source: the Alexandria database
Functional: PBE with a Hubbard U
Structure: optimized geometry

Summary:
* polymorph energy (0 for the lowest one): 0.000 eV per atom
* VASP energy: -45.94 eV for the cell shown
* Fermi-level density of states: 2.59 states/eV per cell

abc: 6.895 6.895 5.747
angles: 53.14 53.14 90.00
Last column: magnetic moment on the atom in μB.
Sites, in units of the cell vectors:
F  0.500  0.500  0.000  0.07
F  0.250  0.750  0.500  0.08
Mn  0.197  0.625  0.250  4.49
Mn  0.375  0.447  0.750  4.49
Mn  0.875  0.803  0.750  4.49
Mn  0.553  0.125  0.250  4.49
Mo  0.000  0.000  0.000  -1.93
Mo  0.750  0.250  0.500  -1.94



No. 8
Compound: MnMoF2
Source: the Alexandria database
Functional: PBE with a Hubbard U
Structure: optimized geometry

Summary:
* polymorph energy (0 for the lowest one): 0.226 eV per atom
* VASP energy: -21.33 eV for the cell shown
* Fermi-level density of states: 1.18 states/eV per cell

abc: 8.160 8.160 8.160
angles: 21.51 21.51 21.51
Last column: magnetic moment on the atom in μB.
Sites, in units of the cell vectors:
Mn  0.000  0.000  0.000  4.54
F  0.104  0.104  0.104  0.02
F  0.896  0.896  0.896  0.02
Mo  0.500  0.500  0.500  1.80



No. 9
Compound: MnMoF2
Source: the Alexandria database
Functional: PBE with a Hubbard U
Structure: optimized geometry

Summary:
* polymorph energy (0 for the lowest one): 0.000 eV per atom
* VASP energy: -44.47 eV for the cell shown
* Fermi-level density of states: 1.79 states/eV per cell

abc: 5.742 5.742 6.532
angles: 63.93 63.93 90.00
Last column: magnetic moment on the atom in μB.
Sites, in units of the cell vectors:
F  0.875  0.755  0.750  0.10
F  0.375  0.495  0.750  0.10
F  0.245  0.625  0.250  0.09
F  0.505  0.125  0.250  0.10
Mn  0.250  0.750  0.500  4.69
Mn  0.500  0.500  0.000  4.69
Mo  0.750  0.250  0.500  4.25
Mo  0.000  0.000  0.000  4.25



No. 10
Compound: Mn3MoF8
Source: the Alexandria database
Functional: PBE with a Hubbard U
Structure: optimized geometry

Summary:
* VASP energy: -72.66 eV for the cell shown
* Fermi-level density of states: 0.12 states/eV per cell

abc: 5.882 5.882 6.514
angles: 90.00 90.00 121.83
Last column: magnetic moment on the atom in μB.
Sites, in units of the cell vectors:
F  0.288  0.712  0.000  0.05
F  0.212  0.294  0.237  0.05
F  0.788  0.706  0.237  0.05
F  0.706  0.788  0.763  0.05
F  0.713  0.287  0.500  0.05
F  0.287  0.713  0.500  0.05
F  0.294  0.212  0.763  0.05
F  0.712  0.288  0.000  0.05
Mo  0.500  0.500  0.500  1.83
Mn  0.500  0.500  0.000  4.68
Mn  0.500  0.000  0.757  4.71
Mn  0.000  0.500  0.243  4.71



No. 11
Compound: Mn2MoF8
Source: the Alexandria database
Functional: PBE with a Hubbard U
Structure: optimized geometry

Summary:
* VASP energy: -64.20 eV for the cell shown
* Fermi-level density of states: 7.11 states/eV per cell

abc: 4.162 6.633 6.633
angles: 120.00 90.00 90.00
Last column: magnetic moment on the atom in μB.
Sites, in units of the cell vectors:
F  0.747  0.699  0.849  0.01
F  0.751  0.667  0.333  0.03
F  0.253  0.849  0.699  0.01
F  0.249  0.333  0.667  0.03
F  0.253  0.301  0.151  0.01
F  0.747  0.151  0.849  0.01
F  0.747  0.151  0.301  0.01
F  0.253  0.849  0.151  0.01
Mn  0.750  0.333  0.667  4.65
Mn  0.250  0.667  0.333  4.65
Mo  0.500  0.000  0.000  2.12



No. 12
Compound: Mn2MoF
Source: the Alexandria database
Functional: PBE with a Hubbard U
Structure: optimized geometry

Summary:
* polymorph energy (0 for the lowest one): 0.019 eV per atom
* VASP energy: -22.89 eV for the cell shown
* Fermi-level density of states: 0.87 states/eV per cell

abc: 4.714 4.714 4.714
angles: 60.00 60.00 60.00
Last column: magnetic moment on the atom in μB.
Sites, in units of the cell vectors:
Mn  0.250  0.250  0.250  4.48
Mn  0.750  0.750  0.750  4.48
Mo  0.500  0.500  0.500  -3.65
F  0.000  0.000  0.000  0.01



No. 13
Compound: MnMo2F8
Source: the Alexandria database
Functional: PBE with a Hubbard U
Structure: optimized geometry

Summary:
* VASP energy: -63.73 eV for the cell shown
* Fermi-level density of states: 0.00 states/eV per cell

abc: 4.396 7.271 6.175
angles: 126.07 86.03 90.01
Last column: magnetic moment on the atom in μB.
Sites, in units of the cell vectors:
F  0.763  0.897  0.230  0.05
F  0.245  0.593  0.185  0.01
F  0.763  0.333  0.231  0.05
F  0.237  0.667  0.769  0.05
F  0.237  0.103  0.770  0.05
F  0.739  0.834  0.669  0.05
F  0.755  0.407  0.815  0.01
F  0.261  0.166  0.331  0.05
Mo  0.738  0.632  0.264  2.79
Mo  0.262  0.368  0.736  2.79
Mn  0.000  0.000  0.000  4.69



No. 14
Compound: MnMoF2
Source: the Alexandria database
Functional: PBE with a Hubbard U
Structure: optimized geometry

Summary:
* polymorph energy (0 for the lowest one): 0.756 eV per atom
* VASP energy: -19.21 eV for the cell shown
* Fermi-level density of states: 1.90 states/eV per cell

abc: 4.278 4.278 4.278
angles: 60.00 60.00 60.00
Last column: magnetic moment on the atom in μB.
Sites, in units of the cell vectors:
F  0.250  0.250  0.250  0.04
F  0.750  0.750  0.750  0.04
Mo  0.500  0.500  0.500  0.92
Mn  0.000  0.000  0.000  4.67



No. 15
Compound: MnMoNF2
Source: the Alexandria database
Functional: PBE with a Hubbard U
Structure: optimized geometry

Summary:
* polymorph energy (0 for the lowest one): 0.081 eV per atom
* VASP energy: -30.09 eV for the cell shown
* Fermi-level density of states: 1.36 states/eV per cell

abc: 3.957 3.957 4.178
angles: 90.00 90.00 90.00
Last column: magnetic moment on the atom in μB.
Sites, in units of the cell vectors:
F  0.500  0.000  0.000  0.07
F  0.000  0.500  0.000  0.07
Mo  0.500  0.500  0.500  3.71
N  0.000  0.000  0.500  -0.40
Mn  0.000  0.000  0.000  4.19



No. 16
Compound: MnMoNF2
Source: the Alexandria database
Functional: PBE with a Hubbard U
Structure: optimized geometry

Summary:
* polymorph energy (0 for the lowest one): 0.000 eV per atom
* VASP energy: -30.49 eV for the cell shown
* Fermi-level density of states: 1.08 states/eV per cell

abc: 4.211 4.211 4.171
angles: 90.00 90.00 90.00
Last column: magnetic moment on the atom in μB.
Sites, in units of the cell vectors:
Mn  0.500  0.500  0.500  4.85
N  0.000  0.000  0.500  -0.22
F  0.500  0.000  0.000  0.06
F  0.000  0.500  0.000  0.06
Mo  0.000  0.000  0.000  2.47



No. 17
Compound: Na2MnMoF8
Source: the Alexandria database
Functional: PBE with a Hubbard U
Structure: optimized geometry

Summary:
* VASP energy: -63.78 eV for the cell shown
* Fermi-level density of states: 0.03 states/eV per cell

abc: 5.077 5.082 6.650
angles: 89.98 90.02 92.10
Last column: magnetic moment on the atom in μB.
Sites, in units of the cell vectors:
F  0.825  0.177  0.255  0.01
F  0.735  0.738  0.500  -0.01
F  0.825  0.177  0.746  0.01
F  0.175  0.823  0.254  0.01
F  0.265  0.262  0.500  -0.01
F  0.175  0.823  0.745  0.01
F  0.706  0.710  0.000  0.03
F  0.294  0.290  0.000  0.03
Mo  0.000  0.000  0.000  2.73
Na  0.500  0.500  0.252  0.00
Na  0.500  0.500  0.748  0.00
Mn  0.000  0.000  0.500  3.94



No. 18
Compound: Na2MnMoF6
Source: the Alexandria database
Functional: PBE with a Hubbard U
Structure: optimized geometry

Summary:
* VASP energy: -103.58 eV for the cell shown
* Fermi-level density of states: 4.58 states/eV per cell

abc: 6.367 5.830 8.520
angles: 90.00 90.00 90.00
Last column: magnetic moment on the atom in μB.
Sites, in units of the cell vectors:
Mn  0.500  0.250  0.000  4.68
Mn  0.000  0.750  0.500  4.68
Na  0.500  0.750  0.185  0.00
Na  0.000  0.250  0.685  0.00
Na  0.500  0.750  0.815  0.00
Na  0.000  0.250  0.315  0.00
F  0.215  0.474  0.500  0.02
F  0.785  0.025  0.500  0.02
F  0.000  0.750  0.748  0.04
F  0.285  0.975  0.000  0.02
F  0.285  0.526  0.000  0.02
F  0.785  0.474  0.500  0.02
F  0.215  0.025  0.500  0.02
F  0.500  0.250  0.752  0.04
F  0.715  0.975  0.000  0.02
F  0.715  0.526  0.000  0.02
F  0.000  0.750  0.252  0.04
F  0.500  0.250  0.248  0.04
Mo  0.000  0.750  0.000  1.90
Mo  0.500  0.250  0.500  1.90



No. 19
Compound: NaMn2MoF8
Source: the Alexandria database
Functional: PBE with a Hubbard U
Structure: optimized geometry

Summary:
* VASP energy: -70.48 eV for the cell shown
* Fermi-level density of states: 0.00 states/eV per cell

abc: 5.027 5.009 6.806
angles: 90.00 90.00 90.07
Last column: magnetic moment on the atom in μB.
Sites, in units of the cell vectors:
F  0.199  0.797  0.226  0.04
F  0.801  0.203  0.226  0.04
F  0.683  0.688  0.500  0.05
F  0.697  0.701  0.000  0.03
F  0.317  0.312  0.500  0.05
F  0.303  0.299  0.000  0.03
F  0.199  0.797  0.774  0.04
F  0.801  0.203  0.774  0.04
Mo  0.000  0.000  0.000  2.82
Mn  0.500  0.500  0.741  4.70
Mn  0.500  0.500  0.259  4.70
Na  0.000  0.000  0.500  0.00



No. 20
Compound: MnMo2OF
Source: the Alexandria database
Functional: PBE with a Hubbard U
Structure: optimized geometry

Summary:
* VASP energy: -25.05 eV for the cell shown
* Fermi-level density of states: 1.06 states/eV per cell

abc: 5.241 3.592 5.241
angles: 90.00 90.00 90.00
Last column: magnetic moment on the atom in μB.
Sites, in units of the cell vectors:
F  0.500  0.500  0.500  0.06
Mo  0.500  0.000  0.000  4.05
Mo  0.000  0.000  0.500  3.80
Mn  0.000  0.000  0.000  0.57
O  0.000  0.500  0.000  0.20



No. 21
Compound: MnMoO2F
Source: the Alexandria database
Functional: PBE with a Hubbard U
Structure: optimized geometry

Summary:
* VASP energy: -31.70 eV for the cell shown
* Fermi-level density of states: 2.39 states/eV per cell

abc: 3.964 3.964 3.940
angles: 90.00 90.00 90.00
Last column: magnetic moment on the atom in μB.
Sites, in units of the cell vectors:
Mn  0.000  0.000  0.000  4.10
O  0.500  0.000  0.000  -0.15
O  0.000  0.500  0.000  -0.15
F  0.000  0.000  0.500  0.08
Mo  0.500  0.500  0.500  3.67



No. 22
Compound: MnMoO2F
Source: the Alexandria database
Functional: PBE with a Hubbard U
Structure: optimized geometry

Summary:
* VASP energy: -32.89 eV for the cell shown
* Fermi-level density of states: 1.05 states/eV per cell

abc: 4.135 4.135 4.125
angles: 90.00 90.00 90.00
Last column: magnetic moment on the atom in μB.
Sites, in units of the cell vectors:
Mn  0.500  0.500  0.500  4.82
O  0.000  0.500  0.000  0.03
O  0.500  0.000  0.000  0.03
Mo  0.000  0.000  0.000  2.48
F  0.000  0.000  0.500  0.05